{
  "formula": "LiLa2AgH",
  "functional": "PBE",
  "state": "relaxed",
  "magmom_total_mub_per_fu": 0.00,
  "relative_energy_mev_per_atom": 96,
  "volume_a3_per_cell": 113,
  "cell": [[5.080, 0.000, 0.000], [0.000, 5.080, 0.000], [0.000, 0.000, 4.389]],
  "species": ["Li", "La", "La", "Ag", "H"],
  "frac_coords": [[0.000, 0.000, 0.000], [0.000, 0.500, 0.500], [0.500, 0.000, 0.500], [0.500, 0.500, 0.000], [0.500, 0.500, 0.500]]
}